Below is NaNi2IO after structural relaxation, with properties calculated at the PBE with a Hubbard U level.

Cell lengths 4.9954, 5.4118, 4.9954 Å; angles 90.00, 90.00, 90.00 degrees
With the nearest neighbours (Å) after each atom.
Fractional positions:
I 0.0000 0.5000 0.0000  2 Na 2.71
Ni 0.0000 0.0000 0.5000  2 Na 2.50
Ni 0.5000 0.0000 0.0000  2 Na 2.50
O 0.5000 0.5000 0.5000  4 I 3.53, 8 Ni 3.68
Na 0.0000 0.0000 0.0000  4 Ni 2.50, 2 I 2.71

## Properties
Magnetic moment (μB/atom): 0.788
Symmetry: P4/mmm
DOS(E_F) (states/eV/atom): 0.70
Final energy (eV per atom): -1.2091